Record 1
# PBE-GGA SmYCoCu, relaxed
# E   -5.73 eV per atom
# E above lowest polymorph   0.0458 eV/atom
# Fermi-level density of states   14.01 states/eV/cell
# Formation energy from the elements   -0.131 eV/atom
# Spin magnetization   0.096 μB per atom
data_SmYCoCu
_chemical_formula_sum 'Sm4 Y4 Co4 Cu4'
_cell_length_a 6.896
_cell_length_b 6.896
_cell_length_c 6.896
_cell_angle_alpha 90.00
_cell_angle_beta 90.00
_cell_angle_gamma 90.00
_space_group_name_H-M_alt 'F -4 3 m'
_space_group_IT_number 216
_space_group_name_Hall 'F -4 2 3'
loop_
_atom_site_label
_atom_site_type_symbol
_atom_site_fract_x
_atom_site_fract_y
_atom_site_fract_z
_atom_site_occupancy
Sm1 Sm 0.000 0.000 0.000 1
Y1 Y 0.000 0.000 0.500 1
Co1 Co 0.250 0.250 0.750 1
Cu1 Cu 0.250 0.250 0.250 1

---

Record 2
# PBE-GGA Sm2Zn3CoCu12, relaxed
# E   -3.70 eV per atom
# Fermi-level density of states   28.87 states/eV/cell
# Formation energy from the elements   0.158 eV/atom
# Spin magnetization   0.030 μB per atom
data_Sm2Zn3CoCu12
_chemical_formula_sum 'Sm6 Zn9 Co3 Cu36'
_cell_length_a 6.1156
_cell_length_b 6.1156
_cell_length_c 26.9662
_cell_angle_alpha 90.00
_cell_angle_beta 90.00
_cell_angle_gamma 120.00
_space_group_name_H-M_alt 'R -3 m'
_space_group_IT_number 166
_space_group_name_Hall '-R 3 2"'
loop_
_atom_site_label
_atom_site_type_symbol
_atom_site_fract_x
_atom_site_fract_y
_atom_site_fract_z
_atom_site_occupancy
Sm1 Sm 0.0000 0.0000 0.1504 1
Zn1 Zn 0.0000 0.5000 0.0000 1
Co1 Co 0.0000 0.0000 0.5000 1
Cu1 Cu 0.0511 0.5255 0.0976 1
Cu2 Cu 0.0717 0.5358 0.6159 1

---

Record 3
# PBE-GGA SmZrCoCu, relaxed
# E   -6.18 eV per atom
# Fermi-level density of states   14.97 states/eV/cell
# Formation energy from the elements   -0.059 eV/atom
# Spin magnetization   0.000 μB per atom
data_SmZrCoCu
_chemical_formula_sum 'Sm4 Zr4 Co4 Cu4'
_cell_length_a 6.701
_cell_length_b 6.701
_cell_length_c 6.701
_cell_angle_alpha 90.00
_cell_angle_beta 90.00
_cell_angle_gamma 90.00
_space_group_name_H-M_alt 'F -4 3 m'
_space_group_IT_number 216
_space_group_name_Hall 'F -4 2 3'
loop_
_atom_site_label
_atom_site_type_symbol
_atom_site_fract_x
_atom_site_fract_y
_atom_site_fract_z
_atom_site_occupancy
Sm1 Sm 0.000 0.000 0.000 1
Zr1 Zr 0.000 0.000 0.500 1
Co1 Co 0.250 0.250 0.750 1
Cu1 Cu 0.250 0.250 0.250 1

---

Record 4
# PBE-GGA CoCu2Sn, relaxed
# E   -4.51 eV per atom
# Fermi-level density of states   8.28 states/eV/cell
# Formation energy from the elements   0.319 eV/atom
# Spin magnetization   0.000 μB per atom
data_CoCu2Sn
_chemical_formula_sum 'Co4 Cu8 Sn4'
_cell_length_a 3.615
_cell_length_b 3.615
_cell_length_c 18.477
_cell_angle_alpha 90.00
_cell_angle_beta 90.00
_cell_angle_gamma 90.00
_space_group_name_H-M_alt 'I -4 2 d'
_space_group_IT_number 122
_space_group_name_Hall 'I -4 2bw'
loop_
_atom_site_label
_atom_site_type_symbol
_atom_site_fract_x
_atom_site_fract_y
_atom_site_fract_z
_atom_site_occupancy
Co1 Co 0.000 0.000 0.000 1
Cu1 Cu 0.231 0.250 0.125 1
Sn1 Sn 0.000 0.000 0.500 1

---

Question: Which of these has the lowest formation energy from the elements?
Answer: SmYCoCu

---

What did the fourth record say?
# PBE-GGA CoCu2Sn, relaxed
# E   -4.51 eV per atom
# Fermi-level density of states   8.28 states/eV/cell
# Formation energy from the elements   0.319 eV/atom
# Spin magnetization   0.000 μB per atom
data_CoCu2Sn
_chemical_formula_sum 'Co4 Cu8 Sn4'
_cell_length_a 3.615
_cell_length_b 3.615
_cell_length_c 18.477
_cell_angle_alpha 90.00
_cell_angle_beta 90.00
_cell_angle_gamma 90.00
_space_group_name_H-M_alt 'I -4 2 d'
_space_group_IT_number 122
_space_group_name_Hall 'I -4 2bw'
loop_
_atom_site_label
_atom_site_type_symbol
_atom_site_fract_x
_atom_site_fract_y
_atom_site_fract_z
_atom_site_occupancy
Co1 Co 0.000 0.000 0.000 1
Cu1 Cu 0.231 0.250 0.125 1
Sn1 Sn 0.000 0.000 0.500 1

---

Question: Fermi-level density of states of number 1 (SmYCoCu)?
Answer: 14.01 states/eV/cell